Entry 1:
Here is a relaxed BaCr2Pt crystal from Alexandria. Energies are from GGA-PBE.

Properties
Its energy of formation is 0.72 eV/atom. The value obtained for the calculated total energy is -24.33 eV per formula unit. The calculation puts the total magnetization at 37.5 Bohr magnetons per cell. The energy above the most stable polymorph in this dataset comes out at 627 meV per atom.

Lattice parameters (Å, degrees): 7.246 7.246 7.246 90.00 90.00 90.00
Space group F-43m (No. 216)
Unique sites:
Ba (0.000, 0.000, 0.000) (multiplicity 4)
Cr (0.000, 0.000, 0.500) (multiplicity 4)
Cr (0.250, 0.250, 0.750) (multiplicity 4)
Pt (0.250, 0.250, 0.250) (multiplicity 4)

Entry 2:
Here is a relaxed BaCr2Pt crystal from Alexandria. Energies are from GGA-PBE.

Properties
Its energy of formation is 0.64 eV/atom. The value obtained for the calculated total energy is -24.64 eV per formula unit. The calculation puts the total magnetization at 9.5 Bohr magnetons per cell. The energy above the most stable polymorph in this dataset comes out at 549 meV per atom.

Lattice parameters (Å, degrees): 4.456 4.456 4.628 90.00 90.00 90.00
Space group P4/mmm (No. 123)
Unique sites:
Ba (0.000, 0.000, 0.000) (multiplicity 1)
Cr (0.000, 0.500, 0.500) (multiplicity 2)
Pt (0.500, 0.500, 0.000) (multiplicity 1)

Entry 3:
Here is a relaxed BaCrPt2 crystal from Alexandria. Energies are from GGA-PBE.

Properties
Its energy of formation is 0.19 eV/atom. The value obtained for the calculated total energy is -22.87 eV per formula unit. The calculation puts the total magnetization at 8.8 Bohr magnetons per cell. The energy above the most stable polymorph in this dataset comes out at 592 meV per atom.

Lattice parameters (Å, degrees): 4.363 4.363 9.015 90.00 90.00 90.00
Space group I-4m2 (No. 119)
Unique sites:
Ba (0.000, 0.000, 0.000) (multiplicity 2)
Cr (0.000, 0.500, 0.750) (multiplicity 2)
Pt (0.000, 0.000, 0.500) (multiplicity 2)
Pt (0.000, 0.500, 0.250) (multiplicity 2)

Entry 4:
Here is a relaxed BaCr2Pt crystal from Alexandria. Energies are from GGA-PBE.

Properties
Its energy of formation is 0.30 eV/atom. The value obtained for the calculated total energy is -26.02 eV per formula unit. The calculation puts the total magnetization at 0.2 Bohr magnetons per cell. The energy above the most stable polymorph in this dataset comes out at 203 meV per atom.

Lattice parameters (Å, degrees): 3.388 3.388 7.506 90.00 90.00 90.00
Space group P4mm (No. 99)
Unique sites:
Ba (0.000, 0.000, 0.000) (multiplicity 1)
Cr (0.000, 0.000, 0.516) (multiplicity 1)
Cr (0.500, 0.500, 0.359) (multiplicity 1)
Pt (0.500, 0.500, 0.710) (multiplicity 1)

Entry 5:
Here is a relaxed BaCr3Pt crystal from Alexandria. Energies are from GGA-PBE.

Properties
Its energy of formation is 2.82 eV/atom. The value obtained for the calculated total energy is -22.73 eV per formula unit. The calculation puts the total magnetization at 0.0 Bohr magnetons per cell. The energy above the most stable polymorph in this dataset comes out at 2088 meV per atom.

Lattice parameters (Å, degrees): 4.610 4.610 4.610 90.00 90.00 90.00
Space group Pm-3m (No. 221)
Unique sites:
Ba (0.000, 0.000, 0.000) (multiplicity 1)
Cr (0.000, 0.000, 0.500) (multiplicity 3)
Pt (0.500, 0.500, 0.500) (multiplicity 1)

Entry 6:
Here is a relaxed Ba4CrPt crystal from Alexandria. Energies are from GGA-PBE.

Properties
Its energy of formation is 0.88 eV/atom. The value obtained for the calculated total energy is -18.09 eV per formula unit. The calculation puts the total magnetization at 19.6 Bohr magnetons per cell.

Lattice parameters (Å, degrees): 9.820 9.820 9.820 90.00 90.00 90.00
Space group F-43m (No. 216)
Unique sites:
Ba (0.124, 0.124, 0.376) (multiplicity 16)
Cr (0.000, 0.000, 0.000) (multiplicity 4)
Pt (0.250, 0.250, 0.750) (multiplicity 4)

Entry 7:
Here is a relaxed BaCrPt2 crystal from Alexandria. Energies are from GGA-PBE.

Properties
Its energy of formation is 0.11 eV/atom. The value obtained for the calculated total energy is -23.18 eV per formula unit. The calculation puts the total magnetization at 8.2 Bohr magnetons per cell. The energy above the most stable polymorph in this dataset comes out at 515 meV per atom.

Lattice parameters (Å, degrees): 3.311 5.169 10.338 90.00 90.00 90.00
Space group Imm2 (No. 44)
Unique sites:
Ba (0.000, 0.000, 0.000) (multiplicity 2)
Cr (0.000, 0.500, 0.202) (multiplicity 2)
Pt (0.000, 0.000, 0.501) (multiplicity 2)
Pt (0.000, 0.500, 0.780) (multiplicity 2)

Entry 8:
Here is a relaxed Ba2CrPt crystal from Alexandria. Energies are from GGA-PBE.

Properties
Its energy of formation is 0.26 eV/atom. The value obtained for the calculated total energy is -18.48 eV per formula unit. The calculation puts the total magnetization at 19.9 Bohr magnetons per cell. The energy above the most stable polymorph in this dataset comes out at 420 meV per atom.

Lattice parameters (Å, degrees): 7.657 7.657 7.657 90.00 90.00 90.00
Space group F-43m (No. 216)
Unique sites:
Ba (0.000, 0.000, 0.000) (multiplicity 4)
Ba (0.250, 0.250, 0.250) (multiplicity 4)
Cr (0.000, 0.000, 0.500) (multiplicity 4)
Pt (0.250, 0.250, 0.750) (multiplicity 4)

Entry 9:
Here is a relaxed BaCrPt2 crystal from Alexandria. Energies are from GGA-PBE.

Properties
Its energy of formation is 0.03 eV/atom. The value obtained for the calculated total energy is -23.51 eV per formula unit. The calculation puts the total magnetization at 7.8 Bohr magnetons per cell. The energy above the most stable polymorph in this dataset comes out at 432 meV per atom.

Lattice parameters (Å, degrees): 4.312 5.855 7.648 90.00 90.00 90.00
Space group Immm (No. 71)
Unique sites:
Ba (0.000, 0.000, 0.000) (multiplicity 2)
Cr (0.000, 0.000, 0.500) (multiplicity 2)
Pt (0.000, 0.500, 0.188) (multiplicity 4)

Entry 10:
Here is a relaxed BaCrPt2 crystal from Alexandria. Energies are from GGA-PBE.

Properties
Its energy of formation is 0.09 eV/atom. The value obtained for the calculated total energy is -23.27 eV per formula unit. The calculation puts the total magnetization at 8.6 Bohr magnetons per cell. The energy above the most stable polymorph in this dataset comes out at 491 meV per atom.

Lattice parameters (Å, degrees): 6.213 7.567 3.691 90.00 90.00 90.00
Space group Cmmm (No. 65)
Unique sites:
Ba (0.000, 0.000, 0.000) (multiplicity 2)
Cr (0.000, 0.500, 0.000) (multiplicity 2)
Pt (0.250, 0.250, 0.500) (multiplicity 4)

Entry 11:
Here is a relaxed BaCrPt2 crystal from Alexandria. Energies are from GGA-PBE.

Properties
Its energy of formation is 0.13 eV/atom. The value obtained for the calculated total energy is -23.10 eV per formula unit. The calculation puts the total magnetization at 15.9 Bohr magnetons per cell. The energy above the most stable polymorph in this dataset comes out at 534 meV per atom.

Lattice parameters (Å, degrees): 7.051 7.051 7.051 90.00 90.00 90.00
Space group Fm-3m (No. 225)
Unique sites:
Ba (0.000, 0.000, 0.000) (multiplicity 4)
Cr (0.000, 0.000, 0.500) (multiplicity 4)
Pt (0.250, 0.250, 0.250) (multiplicity 8)

Entry 12:
Here is a relaxed BaCrPt2 crystal from Alexandria. Energies are from GGA-PBE.

Properties
Its energy of formation is -0.40 eV/atom. The value obtained for the calculated total energy is -25.24 eV per formula unit. The calculation puts the total magnetization at 10.7 Bohr magnetons per cell. The energy above the most stable polymorph in this dataset comes out at 0 meV per atom.

Lattice parameters (Å, degrees): 4.4965 4.4965 16.7903 90.00 90.00 120.00
Space group R-3m (No. 166, hexagonal axes)
Unique sites:
Ba (0.0000, 0.0000, 0.0000) (multiplicity 3)
Cr (0.0000, 0.0000, 0.5000) (multiplicity 3)
Pt (0.0000, 0.0000, 0.1952) (multiplicity 6)